# 1
A relaxed LaTb15Sc4 crystal, computed with PBE.

Structure (POSCAR):
```
LaTb15Sc4
1.0
4.9660 0.0000 0.0000
0.0000 4.9660 0.0000
0.0000 0.0000 24.8059
La Tb Sc
1 15 4
Cartesian
0.0000 0.0000 0.0000
2.4830 2.4830 0.0000
2.4830 2.4830 5.0978
2.4830 2.4830 9.9604
2.4830 2.4830 14.8454
2.4830 2.4830 19.7080
2.4830 0.0000 2.6304
2.4830 0.0000 7.5148
2.4830 0.0000 12.4029
2.4830 0.0000 17.2910
2.4830 0.0000 22.1755
0.0000 2.4830 2.6304
0.0000 2.4830 7.5148
0.0000 2.4830 12.4029
0.0000 2.4830 17.2910
0.0000 2.4830 22.1755
0.0000 0.0000 5.0613
0.0000 0.0000 9.9581
0.0000 0.0000 14.8477
0.0000 0.0000 19.7446
```

Calculated values
formation energy: 38.8 meV/atom
total magnetization: 0.00 μB per formula unit



# 2
A relaxed NaGa11 crystal, computed with PBE.

Structure (POSCAR):
```
NaGa11
1.0
-4.1504 -6.0158 -4.0419
2.6029 -2.2411 -7.9660
2.5781 -8.2263 0.9677
Na Ga
2 22
Cartesian
-2.0752 -3.0079 -2.0209
1.5529 -6.7376 -4.5096
1.5224 -7.7689 -7.8244
-0.7643 -9.1093 -3.4812
0.0000 0.0000 0.0000
-0.5223 -9.7455 -6.5305
2.3293 -10.1065 -6.7644
-1.0349 -9.0012 -9.2692
-1.0473 -11.9938 -4.8024
-2.3364 -7.8807 -5.2862
1.5123 -10.1954 -4.2025
0.0373 -15.0045 -8.4733
-1.3545 -4.8816 -4.8532
-0.7543 -6.6828 -7.1031
0.4649 -12.6845 -6.9178
0.8382 -3.4037 -3.8569
2.8201 -8.8625 -2.0817
0.5582 -4.2178 -6.6721
0.5434 -7.7764 -1.3604
0.4709 -11.2243 -9.0974
0.8321 -4.8639 -1.6773
2.8348 -5.3039 -7.3934
0.0433 -13.5442 -10.6529
-1.3605 -6.3419 -2.6736
```

Calculated values
formation energy: -22.7 meV/atom
total magnetization: 0.00 μB per formula unit



# 3
A relaxed HfSb2PI crystal, computed with PBE.

Structure (POSCAR):
```
HfSb2PI
1.0
-1.0459 -1.7375 4.7836
4.4219 -2.7279 -0.0240
2.4780 3.9993 1.9944
I Sb Hf P
1 2 1 1
Cartesian
1.2390 1.9997 0.9972
2.2109 -1.3639 -0.0120
-0.5229 -0.8687 2.3918
2.9270 -0.2330 3.3770
0.0000 0.0000 0.0000
```

Calculated values
energy relative to the elements, uncorrected: 740 meV/atom
distance to the lowest polymorph of the same formula: 0.0669 eV/atom
total magnetization: 0.00 μB per formula unit



# 4
A relaxed LuRuN2 crystal, computed with PBE.

Structure (POSCAR):
```
LuRuN2
1.0
-0.1969 3.0122 1.3097
-2.8766 1.5973 0.0273
-2.0506 -0.3844 4.7094
Ru Lu N
1 1 2
Cartesian
0.0000 0.0000 0.0000
-2.5621 2.1126 3.0232
-1.2527 1.1093 1.3939
-3.8715 3.1159 4.6525
```

Calculated values
energy relative to the elements, uncorrected: -682 meV/atom
total magnetization: 0.83 μB per formula unit



# 5
A relaxed La2HBr2 crystal, computed with PBE.

Structure (POSCAR):
```
La2HBr2
1.0
6.8580 0.0000 -0.1786
0.0000 7.6824 0.0000
-1.0127 0.0000 10.5252
La H Br
8 4 8
Cartesian
4.6337 0.4271 2.0166
1.2047 3.4141 2.1059
4.6407 4.2683 8.2408
1.2117 7.2553 8.3301
4.7291 2.8131 4.7194
1.3001 1.0281 4.8086
4.5453 6.6543 5.5380
1.1163 4.8693 5.6273
2.2876 3.1535 4.2419
3.5578 4.5289 6.1048
5.7166 0.6877 4.1526
0.1288 6.9947 6.1940
2.7071 1.7312 0.1001
6.1361 2.1100 0.0108
-0.2907 5.5724 10.3359
3.1383 5.9512 10.2466
5.7695 5.2095 3.0872
2.3405 6.3141 3.1765
3.5049 1.3683 7.1702
0.0758 2.4729 7.2595
```

Calculated values
total magnetization: 0.00 μB per formula unit



# 6
A relaxed K2Li2RhO4 crystal, computed with PBE.

Structure (POSCAR):
```
K2Li2RhO4
1.0
-1.9476 2.5127 0.8782
-3.8171 -1.3868 -4.4973
-0.6546 -4.2194 4.4274
K Li Rh O
2 2 1 4
Cartesian
-2.5510 -1.5729 -1.1569
-3.8684 -1.5206 1.9651
-5.3570 -1.1750 -2.3249
-1.0624 -1.9185 3.1331
0.0000 0.0000 0.0000
-1.1600 -1.2997 1.1461
-5.2594 -1.7938 -0.3378
-4.0609 0.0685 -3.0087
-2.3584 -3.1620 3.8169
```

Calculated values
energy relative to the elements, uncorrected: -1352 meV/atom
total magnetization: 1.04 μB per formula unit



# 7
A relaxed EuHgRh crystal, computed with PBE.

Structure (POSCAR):
```
EuHgRh
1.0
3.5714 0.0000 0.0000
0.0000 3.5714 0.0000
-1.7857 -1.7857 5.2707
Eu Rh Hg
1 1 1
Cartesian
1.7857 1.7857 4.6189
0.0000 0.0000 2.8719
1.7857 1.7857 1.4694
```

Calculated values
formation energy: -243.5 meV/atom
distance to the lowest polymorph of the same formula: 0.0681 eV/atom
total magnetization: 7.01 μB per formula unit



# 8
A relaxed LiCeTl2Br6 crystal, computed with PBE.

Structure (POSCAR):
```
LiCeTl2Br6
1.0
-6.1743 -3.1887 3.2371
-1.1060 -4.5087 -6.5509
6.4084 -7.8079 4.2918
Li Ce Tl Br
2 2 4 12
Cartesian
0.1171 -5.4983 3.7645
-0.5530 -2.2543 -3.2754
-3.0871 -1.5944 1.6186
2.6512 -6.1583 -1.1295
0.4143 -6.1782 -4.9380
0.9224 -10.0824 1.1426
-1.2862 -9.3271 5.9160
-1.7943 -5.4229 -0.1645
-2.3084 -4.4696 -3.4070
-2.3054 -10.4330 -0.3183
1.4365 -11.0357 4.3851
1.4335 -5.0723 1.2964
0.2230 -7.6858 -1.6819
0.2397 -13.5933 1.4881
-1.0949 -7.8195 2.6600
-1.1116 -1.9120 -0.5100
-4.6031 -7.1202 0.5602
1.1796 -11.5035 -1.9254
3.7312 -8.3851 0.4179
-2.0514 -4.0018 2.9035
```

Calculated values
energy relative to the elements, uncorrected: -1374 meV/atom
total magnetization: 1.00 μB per formula unit



| no. | E_tot (eV per atom) |
| --- | --- |
| 1 | -4.95 |
| 2 | -2.91 |
| 3 | -4.29 |
| 4 | -8.29 |
| 5 | -4.47 |
| 6 | -5.04 |
| 7 | -6.22 |
| 8 | -3.64 |